BaTbEu: optimized geometry, GGA-PBE.

- Total DFT energy (no corrections): -16.330 eV/cell
- ρ: 5.8 g/cm3
- ΔH_f (0 K): 16 kJ/mol of atoms
- Crystal system: trigonal

Cell: 3.8991 3.8991 9.6679 Å, 90.00 90.00 120.00°
With the nearest neighbours (Å) after each atom.
Space group P3m1 (No. 156)
Inequivalent atoms, fractional coordinates:
1 Ba 0.0000 0.0000 0.0000 (multiplicity 1)  6 Ba 3.90, 3 Tb 3.95, 3 Eu 4.18
2 Tb 0.6667 0.3333 0.3354 (multiplicity 1)  3 Eu 3.67, 6 Tb 3.90, 3 Ba 3.95
3 Eu 0.3333 0.6667 0.6354 (multiplicity 1)  3 Tb 3.67, 6 Eu 3.90